# Tl2ZnSnSb2, relaxed, DFT GGA-PBE
# calculated total energy = -72.631 eV per cell
# formation energy from raw total energies = 16 meV/atom
# D(E_F) = 7.35 states/eV/cell
data_Tl2ZnSnSb2
_chemical_formula_sum 'Tl8 Zn4 Sn4 Sb8'
_cell_length_a 7.130
_cell_length_b 14.673
_cell_length_c 7.062
_cell_angle_alpha 90.00
_cell_angle_beta 90.00
_cell_angle_gamma 90.00
_symmetry_space_group_name_H-M 'I b a m'
_symmetry_Int_Tables_number 72
_symmetry_space_group_name_Hall '-I 2 2c'
loop_
_atom_site_label
_atom_site_fract_x
_atom_site_fract_y
_atom_site_fract_z
_atom_site_occupancy
Tl1 0.249 0.168 0.000 1
Zn1 0.000 0.500 0.250 1
Sn1 0.000 0.000 0.250 1
Sb1 0.213 0.392 0.000 1

# Zr2TlSnSb, relaxed, DFT GGA-PBE
# calculated total energy = -22.611 eV per cell
# formation energy from raw total energies = 995 meV/atom
# D(E_F) = 7.90 states/eV/cell
data_Zr2TlSnSb
_chemical_formula_sum 'Zr2 Tl1 Sn1 Sb1'
_cell_length_a 5.475
_cell_length_b 5.475
_cell_length_c 5.362
_cell_angle_alpha 90.00
_cell_angle_beta 90.00
_cell_angle_gamma 90.00
_symmetry_space_group_name_H-M 'P 4/m m m'
_symmetry_Int_Tables_number 123
_symmetry_space_group_name_Hall '-P 4 2'
loop_
_atom_site_label
_atom_site_fract_x
_atom_site_fract_y
_atom_site_fract_z
_atom_site_occupancy
Zr1 0.000 0.500 0.000 1
Tl1 0.000 0.000 0.000 1
Sn1 0.000 0.000 0.500 1
Sb1 0.500 0.500 0.500 1

# Tm4SnSb3, relaxed, DFT GGA-PBE
# calculated total energy = -41.505 eV per cell
# formation energy from raw total energies = -906 meV/atom
# D(E_F) = 3.11 states/eV/cell
data_Tm4SnSb3
_chemical_formula_sum 'Tm4 Sn1 Sb3'
_cell_length_a 6.138
_cell_length_b 6.138
_cell_length_c 6.138
_cell_angle_alpha 90.00
_cell_angle_beta 90.00
_cell_angle_gamma 90.00
_symmetry_space_group_name_H-M 'P m -3 m'
_symmetry_Int_Tables_number 221
_symmetry_space_group_name_Hall '-P 4 2 3'
loop_
_atom_site_label
_atom_site_fract_x
_atom_site_fract_y
_atom_site_fract_z
_atom_site_occupancy
Tm1 0.000 0.000 0.000 1
Tm2 0.000 0.500 0.500 1
Sn1 0.500 0.500 0.500 1
Sb1 0.000 0.000 0.500 1

# TmSnSb2, relaxed, DFT GGA-PBE
# calculated total energy = -18.357 eV per cell
# energy above the most stable polymorph in this dataset = 0.00 eV per formula unit
# formation energy from raw total energies = -409 meV/atom
# D(E_F) = 2.49 states/eV/cell
data_TmSnSb2
_chemical_formula_sum 'Tm1 Sn1 Sb2'
_cell_length_a 4.101
_cell_length_b 4.101
_cell_length_c 6.384
_cell_angle_alpha 90.00
_cell_angle_beta 90.00
_cell_angle_gamma 90.00
_symmetry_space_group_name_H-M 'P 4/m m m'
_symmetry_Int_Tables_number 123
_symmetry_space_group_name_Hall '-P 4 2'
loop_
_atom_site_label
_atom_site_fract_x
_atom_site_fract_y
_atom_site_fract_z
_atom_site_occupancy
Tm1 0.000 0.000 0.000 1
Sn1 0.000 0.000 0.500 1
Sb1 0.500 0.500 0.236 1

# Tm3SnSb, relaxed, DFT GGA-PBE
# calculated total energy = -48.757 eV per cell
# formation energy from raw total energies = -568 meV/atom
# D(E_F) = 10.71 states/eV/cell
data_Tm3SnSb
_chemical_formula_sum 'Tm6 Sn2 Sb2'
_cell_length_a 8.461
_cell_length_b 4.065
_cell_length_c 8.873
_cell_angle_alpha 90.00
_cell_angle_beta 90.33
_cell_angle_gamma 90.00
_symmetry_space_group_name_H-M 'P 1 21/m 1'
_symmetry_Int_Tables_number 11
_symmetry_space_group_name_Hall '-P 2yb'
loop_
_atom_site_label
_atom_site_fract_x
_atom_site_fract_y
_atom_site_fract_z
_atom_site_occupancy
Tm1 0.005 0.250 0.351 1
Tm2 0.349 0.750 0.372 1
Tm3 0.368 0.750 0.879 1
Sn1 0.269 0.250 0.120 1
Sb1 0.277 0.250 0.626 1

# Tm6SnSb3, relaxed, DFT GGA-PBE
# calculated total energy = -198.749 eV per cell
# formation energy from raw total energies = -649 meV/atom
# D(E_F) = 31.49 states/eV/cell
data_Tm6SnSb3
_chemical_formula_sum 'Tm24 Sn4 Sb12'
_cell_length_a 10.882
_cell_length_b 14.734
_cell_length_c 7.455
_cell_angle_alpha 90.00
_cell_angle_beta 90.00
_cell_angle_gamma 90.00
_symmetry_space_group_name_H-M 'C m c 21'
_symmetry_Int_Tables_number 36
_symmetry_space_group_name_Hall 'C 2c -2'
loop_
_atom_site_label
_atom_site_fract_x
_atom_site_fract_y
_atom_site_fract_z
_atom_site_occupancy
Tm1 0.000 0.006 0.000 1
Tm2 0.000 0.247 0.134 1
Tm3 0.175 0.444 0.115 1
Tm4 0.200 0.275 0.502 1
Sn1 0.000 0.172 0.750 1
Sb1 0.000 0.419 0.428 1
Sb2 0.185 0.098 0.274 1

# Tm7Sn5Sb, relaxed, DFT GGA-PBE
# calculated total energy = -122.986 eV per cell
# formation energy from raw total energies = -466 meV/atom
# D(E_F) = 13.61 states/eV/cell
data_Tm7Sn5Sb
_chemical_formula_sum 'Tm14 Sn10 Sb2'
_cell_length_a 6.137
_cell_length_b 11.157
_cell_length_c 10.481
_cell_angle_alpha 90.00
_cell_angle_beta 90.00
_cell_angle_gamma 90.00
_symmetry_space_group_name_H-M 'I m m 2'
_symmetry_Int_Tables_number 44
_symmetry_space_group_name_Hall 'I 2 -2'
loop_
_atom_site_label
_atom_site_fract_x
_atom_site_fract_y
_atom_site_fract_z
_atom_site_occupancy
Tm1 0.000 0.000 0.000 1
Tm2 0.000 0.000 0.405 1
Tm3 0.000 0.331 0.615 1
Tm4 0.000 0.339 0.103 1
Tm5 0.000 0.500 0.356 1
Sn1 0.000 0.500 0.856 1
Sn2 0.249 0.255 0.361 1
Sb1 0.000 0.000 0.688 1

# Tm5SnSb2, relaxed, DFT GGA-PBE
# calculated total energy = -151.169 eV per cell
# formation energy from raw total energies = -398 meV/atom
# D(E_F) = 32.03 states/eV/cell
data_Tm5SnSb2
_chemical_formula_sum 'Tm20 Sn4 Sb8'
_cell_length_a 5.849
_cell_length_b 11.476
_cell_length_c 14.023
_cell_angle_alpha 90.00
_cell_angle_beta 90.00
_cell_angle_gamma 90.00
_symmetry_space_group_name_H-M 'C m c m'
_symmetry_Int_Tables_number 63
_symmetry_space_group_name_Hall '-C 2c 2'
loop_
_atom_site_label
_atom_site_fract_x
_atom_site_fract_y
_atom_site_fract_z
_atom_site_occupancy
Tm1 0.000 0.074 0.101 1
Tm2 0.000 0.378 0.053 1
Tm3 0.000 0.404 0.750 1
Sn1 0.000 0.273 0.250 1
Sb1 0.000 0.196 0.606 1

# TmSnSb2, relaxed, DFT GGA-PBE
# calculated total energy = -54.813 eV per cell
# energy above the most stable polymorph in this dataset = 0.09 eV per formula unit
# formation energy from raw total energies = -388 meV/atom
# D(E_F) = 8.21 states/eV/cell
data_TmSnSb2
_chemical_formula_sum 'Tm3 Sn3 Sb6'
_cell_length_a 4.2732
_cell_length_b 4.2732
_cell_length_c 22.6958
_cell_angle_alpha 90.00
_cell_angle_beta 90.00
_cell_angle_gamma 120.00
_symmetry_space_group_name_H-M 'R -3 m'
_symmetry_Int_Tables_number 166
_symmetry_space_group_name_Hall '-R 3 2"'
loop_
_atom_site_label
_atom_site_fract_x
_atom_site_fract_y
_atom_site_fract_z
_atom_site_occupancy
Tm1 0.0000 0.0000 0.0000 1
Sn1 0.0000 0.0000 0.5000 1
Sb1 0.0000 0.0000 0.2518 1

# Tm6SnSb5, relaxed, DFT GGA-PBE
# calculated total energy = -125.888 eV per cell
# formation energy from raw total energies = -958 meV/atom
# D(E_F) = 9.38 states/eV/cell
data_Tm6SnSb5
_chemical_formula_sum 'Tm12 Sn2 Sb10'
_cell_length_a 7.507
_cell_length_b 13.022
_cell_length_c 7.520
_cell_angle_alpha 90.00
_cell_angle_beta 109.50
_cell_angle_gamma 90.00
_symmetry_space_group_name_H-M 'C 1 2/m 1'
_symmetry_Int_Tables_number 12
_symmetry_space_group_name_Hall '-C 2y'
loop_
_atom_site_label
_atom_site_fract_x
_atom_site_fract_y
_atom_site_fract_z
_atom_site_occupancy
Tm1 0.250 0.000 0.250 1
Tm2 0.250 0.167 0.749 1
Sn1 0.000 0.000 0.500 1
Sb1 0.000 0.168 0.000 1
Sb2 0.000 0.334 0.500 1
Sb3 0.000 0.500 0.000 1

# TmSnSb, relaxed, DFT GGA-PBE
# calculated total energy = -56.568 eV per cell
# energy above the most stable polymorph in this dataset = 0.00 eV per formula unit
# formation energy from raw total energies = -515 meV/atom
# D(E_F) = 3.15 states/eV/cell
data_TmSnSb
_chemical_formula_sum 'Tm4 Sn4 Sb4'
_cell_length_a 13.296
_cell_length_b 4.623
_cell_length_c 5.964
_cell_angle_alpha 90.00
_cell_angle_beta 90.00
_cell_angle_gamma 90.00
_symmetry_space_group_name_H-M 'P n m a'
_symmetry_Int_Tables_number 62
_symmetry_space_group_name_Hall '-P 2ac 2n'
loop_
_atom_site_label
_atom_site_fract_x
_atom_site_fract_y
_atom_site_fract_z
_atom_site_occupancy
Tm1 0.200 0.250 0.102 1
Sn1 0.037 0.750 0.142 1
Sb1 0.150 0.250 0.601 1

# Tm4SnSb, relaxed, DFT GGA-PBE
# calculated total energy = -55.648 eV per cell
# formation energy from raw total energies = -302 meV/atom
# D(E_F) = 14.45 states/eV/cell
data_Tm4SnSb
_chemical_formula_sum 'Tm8 Sn2 Sb2'
_cell_length_a 6.164
_cell_length_b 8.377
_cell_length_c 7.858
_cell_angle_alpha 90.00
_cell_angle_beta 109.16
_cell_angle_gamma 90.00
_symmetry_space_group_name_H-M 'P 1 21/m 1'
_symmetry_Int_Tables_number 11
_symmetry_space_group_name_Hall '-P 2yb'
loop_
_atom_site_label
_atom_site_fract_x
_atom_site_fract_y
_atom_site_fract_z
_atom_site_occupancy
Tm1 0.050 0.250 0.016 1
Tm2 0.155 0.750 0.488 1
Tm3 0.448 0.544 0.244 1
Sn1 0.296 0.250 0.436 1
Sb1 0.413 0.750 0.916 1

# Tm8SnSb2, relaxed, DFT GGA-PBE
# calculated total energy = -105.402 eV per cell
# formation energy from raw total energies = -426 meV/atom
# D(E_F) = 23.63 states/eV/cell
data_Tm8SnSb2
_chemical_formula_sum 'Tm16 Sn2 Sb4'
_cell_length_a 18.946
_cell_length_b 4.846
_cell_length_c 6.979
_cell_angle_alpha 90.00
_cell_angle_beta 99.97
_cell_angle_gamma 90.00
_symmetry_space_group_name_H-M 'C 1 2/m 1'
_symmetry_Int_Tables_number 12
_symmetry_space_group_name_Hall '-C 2y'
loop_
_atom_site_label
_atom_site_fract_x
_atom_site_fract_y
_atom_site_fract_z
_atom_site_occupancy
Tm1 0.017 0.000 0.252 1
Tm2 0.094 0.500 0.990 1
Tm3 0.161 0.500 0.525 1
Tm4 0.216 0.000 0.848 1
Sn1 0.000 0.500 0.500 1
Sb1 0.180 0.000 0.271 1

# Tm8Sn2Sb, relaxed, DFT GGA-PBE
# calculated total energy = -104.822 eV per cell
# formation energy from raw total energies = -410 meV/atom
# D(E_F) = 21.05 states/eV/cell
data_Tm8Sn2Sb
_chemical_formula_sum 'Tm16 Sn4 Sb2'
_cell_length_a 19.482
_cell_length_b 4.886
_cell_length_c 6.813
_cell_angle_alpha 90.00
_cell_angle_beta 102.25
_cell_angle_gamma 90.00
_symmetry_space_group_name_H-M 'C 1 2/m 1'
_symmetry_Int_Tables_number 12
_symmetry_space_group_name_Hall '-C 2y'
loop_
_atom_site_label
_atom_site_fract_x
_atom_site_fract_y
_atom_site_fract_z
_atom_site_occupancy
Tm1 0.024 0.000 0.259 1
Tm2 0.094 0.500 0.984 1
Tm3 0.158 0.500 0.512 1
Tm4 0.219 0.000 0.834 1
Sn1 0.182 0.000 0.267 1
Sb1 0.000 0.500 0.500 1

# Tm5SnSb4, relaxed, DFT GGA-PBE
# calculated total energy = -104.497 eV per cell
# energy above the most stable polymorph in this dataset = 0.00 eV per formula unit
# formation energy from raw total energies = -940 meV/atom
# D(E_F) = 6.15 states/eV/cell
data_Tm5SnSb4
_chemical_formula_sum 'Tm10 Sn2 Sb8'
_cell_length_a 14.460
_cell_length_b 4.311
_cell_length_c 10.674
_cell_angle_alpha 90.00
_cell_angle_beta 119.72
_cell_angle_gamma 90.00
_symmetry_space_group_name_H-M 'C 1 2/m 1'
_symmetry_Int_Tables_number 12
_symmetry_space_group_name_Hall '-C 2y'
loop_
_atom_site_label
_atom_site_fract_x
_atom_site_fract_y
_atom_site_fract_z
_atom_site_occupancy
Tm1 0.000 0.000 0.000 1
Tm2 0.101 0.500 0.398 1
Tm3 0.200 0.000 0.801 1
Sn1 0.000 0.000 0.500 1
Sb1 0.100 0.500 0.901 1
Sb2 0.200 0.000 0.300 1

# Tm5SnSb4, relaxed, DFT GGA-PBE
# calculated total energy = -104.418 eV per cell
# energy above the most stable polymorph in this dataset = 0.04 eV per formula unit
# formation energy from raw total energies = -936 meV/atom
# D(E_F) = 9.03 states/eV/cell
data_Tm5SnSb4
_chemical_formula_sum 'Tm10 Sn2 Sb8'
_cell_length_a 9.702
_cell_length_b 9.702
_cell_length_c 6.134
_cell_angle_alpha 90.00
_cell_angle_beta 90.00
_cell_angle_gamma 90.00
_symmetry_space_group_name_H-M 'I 4/m'
_symmetry_Int_Tables_number 87
_symmetry_space_group_name_Hall '-I 4'
loop_
_atom_site_label
_atom_site_fract_x
_atom_site_fract_y
_atom_site_fract_z
_atom_site_occupancy
Tm1 0.000 0.000 0.000 1
Tm2 0.101 0.300 0.500 1
Sn1 0.000 0.000 0.500 1
Sb1 0.099 0.300 0.000 1

# TmSnSb2, relaxed, DFT GGA-PBE
# calculated total energy = -18.175 eV per cell
# energy above the most stable polymorph in this dataset = 0.18 eV per formula unit
# formation energy from raw total energies = -364 meV/atom
# D(E_F) = 2.16 states/eV/cell
data_TmSnSb2
_chemical_formula_sum 'Tm1 Sn1 Sb2'
_cell_length_a 5.149
_cell_length_b 5.149
_cell_length_c 4.012
_cell_angle_alpha 90.00
_cell_angle_beta 90.00
_cell_angle_gamma 90.00
_symmetry_space_group_name_H-M 'P 4/m m m'
_symmetry_Int_Tables_number 123
_symmetry_space_group_name_Hall '-P 4 2'
loop_
_atom_site_label
_atom_site_fract_x
_atom_site_fract_y
_atom_site_fract_z
_atom_site_occupancy
Tm1 0.000 0.000 0.000 1
Sn1 0.500 0.500 0.000 1
Sb1 0.000 0.500 0.500 1

# Tm7Sn2Sb2, relaxed, DFT GGA-PBE
# calculated total energy = -102.522 eV per cell
# formation energy from raw total energies = -337 meV/atom
# D(E_F) = 28.66 states/eV/cell
data_Tm7Sn2Sb2
_chemical_formula_sum 'Tm14 Sn4 Sb4'
_cell_length_a 8.506
_cell_length_b 10.782
_cell_length_c 7.237
_cell_angle_alpha 90.00
_cell_angle_beta 90.00
_cell_angle_gamma 90.00
_symmetry_space_group_name_H-M 'C m m m'
_symmetry_Int_Tables_number 65
_symmetry_space_group_name_Hall '-C 2 2'
loop_
_atom_site_label
_atom_site_fract_x
_atom_site_fract_y
_atom_site_fract_z
_atom_site_occupancy
Tm1 0.000 0.000 0.000 1
Tm2 0.000 0.500 0.266 1
Tm3 0.250 0.250 0.279 1
Sn1 0.181 0.000 0.500 1
Sb1 0.000 0.280 0.000 1

# Tm4SnSb2, relaxed, DFT GGA-PBE
# calculated total energy = -139.315 eV per cell
# formation energy from raw total energies = -671 meV/atom
# D(E_F) = 18.61 states/eV/cell
data_Tm4SnSb2
_chemical_formula_sum 'Tm16 Sn4 Sb8'
_cell_length_a 9.521
_cell_length_b 9.521
_cell_length_c 9.321
_cell_angle_alpha 90.00
_cell_angle_beta 90.00
_cell_angle_gamma 90.00
_symmetry_space_group_name_H-M 'I 41/a m d'
_symmetry_Int_Tables_number 141
loop_
_symmetry_equiv_pos_as_xyz
'x,y,z'
'-x,-y,-z'
'-y+1/4,x+3/4,z+1/4'
'y+1/4,-x+3/4,-z+1/4'
'-x+1/2,-y,z+1/2'
'x+1/2,y,-z+1/2'
'y+1/4,-x+1/4,z+3/4'
'-y+1/4,x+1/4,-z+3/4'
'x,-y,-z'
'-x,y,z'
'-y+1/4,-x+1/4,-z+3/4'
'y+1/4,x+1/4,z+3/4'
'-x+1/2,y,-z+1/2'
'x+1/2,-y,z+1/2'
'y+1/4,x+3/4,-z+1/4'
'-y+1/4,-x+3/4,z+1/4'
'x+1/2,y+1/2,z+1/2'
'-x+1/2,-y+1/2,-z+1/2'
'-y+3/4,x+1/4,z+3/4'
'y+3/4,-x+1/4,-z+3/4'
'-x,-y+1/2,z'
'x,y+1/2,-z'
'y+3/4,-x+3/4,z+1/4'
'-y+3/4,x+3/4,-z+1/4'
'x+1/2,-y+1/2,-z+1/2'
'-x+1/2,y+1/2,z+1/2'
'-y+3/4,-x+3/4,-z+1/4'
'y+3/4,x+3/4,z+1/4'
'-x,y+1/2,-z'
'x,-y+1/2,z'
'y+3/4,x+1/4,-z+3/4'
'-y+3/4,-x+1/4,z+3/4'
loop_
_atom_site_label
_atom_site_fract_x
_atom_site_fract_y
_atom_site_fract_z
_atom_site_occupancy
Tm1 0.000 0.063 0.188 1
Sn1 0.000 0.250 0.875 1
Sb1 0.000 0.000 0.500 1

# TmSnSb, relaxed, DFT GGA-PBE
# calculated total energy = -13.467 eV per cell
# energy above the most stable polymorph in this dataset = 0.67 eV per formula unit
# formation energy from raw total energies = -290 meV/atom
# D(E_F) = 2.57 states/eV/cell
data_TmSnSb
_chemical_formula_sum 'Tm1 Sn1 Sb1'
_cell_length_a 5.3485
_cell_length_b 5.3485
_cell_length_c 3.2348
_cell_angle_alpha 90.00
_cell_angle_beta 90.00
_cell_angle_gamma 120.00
_symmetry_space_group_name_H-M 'P 3 m 1'
_symmetry_Int_Tables_number 156
_symmetry_space_group_name_Hall 'P 3 -2"'
loop_
_atom_site_label
_atom_site_fract_x
_atom_site_fract_y
_atom_site_fract_z
_atom_site_occupancy
Tm1 0.0000 0.0000 0.0000 1
Sn1 0.3333 0.6667 0.5010 1
Sb1 0.6667 0.3333 0.4982 1